# 1
This record from the Alexandria database describes a relaxed structure of Y7Er2Sc. The functional is PBE.

Values from the calculation:
- Symmetry: Cmmm

Unit cell a=14.784 b=14.784 c=3.445 alpha=90.00 beta=90.00 gamma=155.03
Fractional positions:
Y1 0.000 0.000 0.000
Y2 0.163 0.358 0.000
Y3 0.188 0.812 0.500
Y4 0.358 0.163 0.000
Y5 0.642 0.837 0.000
Y6 0.812 0.188 0.500
Y7 0.837 0.642 0.000
Er1 0.292 0.708 0.000
Er2 0.708 0.292 0.000
Sc1 0.500 0.500 0.500

# 2
This record from the Alexandria database describes a relaxed structure of ReCl. The functional is PBE.

Values from the calculation:
- Symmetry: Pmn2_1
- Energy relative to the lowest polymorph listed for this composition: 759 meV/atom
- E_form (uncorrected): 648 meV/atom

Unit cell a=9.798 b=5.803 c=4.806 alpha=90.00 beta=90.00 gamma=90.00
Fractional positions:
Re1 0.000 0.244 0.000
Re2 0.206 0.034 0.047
Re3 0.294 0.966 0.547
Re4 0.500 0.756 0.500
Re5 0.706 0.966 0.547
Re6 0.794 0.034 0.047
Cl1 0.000 0.170 0.518
Cl2 0.165 0.680 0.808
Cl3 0.335 0.320 0.308
Cl4 0.500 0.830 0.018
Cl5 0.665 0.320 0.308
Cl6 0.835 0.680 0.808

# 3
This record from the Alexandria database describes a relaxed structure of La8Ge3TeBr4. The functional is PBE.

Values from the calculation:
- Symmetry: R-3m
- E_form (uncorrected): -1295 meV/atom

Unit cell a=8.825 b=8.825 c=8.825 alpha=61.05 beta=61.05 gamma=61.05
Fractional positions:
La1 0.222 0.754 0.754
La2 0.240 0.240 0.240
La3 0.246 0.246 0.778
La4 0.246 0.778 0.246
La5 0.754 0.222 0.754
La6 0.754 0.754 0.222
La7 0.760 0.760 0.760
La8 0.778 0.246 0.246
Ge1 0.000 0.000 0.500
Ge2 0.000 0.500 0.000
Ge3 0.500 0.000 0.000
Te1 0.500 0.500 0.500
Br1 0.000 0.000 0.000
Br2 0.000 0.500 0.500
Br3 0.500 0.000 0.500
Br4 0.500 0.500 0.000

# 4
This record from the Alexandria database describes a relaxed structure of KBaNaTl. The functional is PBE.

Values from the calculation:
- Symmetry: F-43m

Unit cell a=8.769 b=8.769 c=8.769 alpha=90.00 beta=90.00 gamma=90.00
Fractional positions:
K1 0.000 0.000 0.000
K2 0.000 0.500 0.500
K3 0.500 0.000 0.500
K4 0.500 0.500 0.000
Ba1 0.000 0.000 0.500
Ba2 0.000 0.500 0.000
Ba3 0.500 0.000 0.000
Ba4 0.500 0.500 0.500
Na1 0.250 0.250 0.250
Na2 0.250 0.750 0.750
Na3 0.750 0.250 0.750
Na4 0.750 0.750 0.250
Tl1 0.250 0.250 0.750
Tl2 0.250 0.750 0.250
Tl3 0.750 0.250 0.250
Tl4 0.750 0.750 0.750

# 5
This record from the Alexandria database describes a relaxed structure of CaNiBiPb2. The functional is PBE.

Values from the calculation:
- Symmetry: P4/mmm

Unit cell a=5.126 b=5.126 c=5.389 alpha=90.00 beta=90.00 gamma=90.00
Fractional positions:
Ca1 0.000 0.000 0.000
Ni1 0.000 0.000 0.500
Bi1 0.500 0.500 0.000
Pb1 0.000 0.500 0.500
Pb2 0.500 0.000 0.500

# 6
This record from the Alexandria database describes a relaxed structure of LiFe2W. The functional is PBE.

Values from the calculation:
- Symmetry: R-3m

Unit cell a=2.636 b=2.636 c=27.588 alpha=90.00 beta=90.00 gamma=120.00
Fractional positions:
Li1 0.000 0.000 0.000
Li2 0.333 0.667 0.667
Li3 0.667 0.333 0.333
Fe1 0.000 0.000 0.250
Fe2 0.000 0.000 0.750
Fe3 0.333 0.667 0.416
Fe4 0.333 0.667 0.917
Fe5 0.667 0.333 0.083
Fe6 0.667 0.333 0.584
W1 0.000 0.000 0.500
W2 0.333 0.667 0.167
W3 0.667 0.333 0.833

# 7
This record from the Alexandria database describes a relaxed structure of Na2ZnAg2. The functional is PBE.

Values from the calculation:
- Symmetry: C2/c
- Energy relative to the lowest polymorph listed for this composition: 2 meV/atom

Unit cell a=5.648 b=5.648 c=8.479 alpha=100.76 beta=100.76 gamma=61.25
Fractional positions:
Na1 0.026 0.276 0.157
Na2 0.276 0.026 0.657
Na3 0.724 0.974 0.343
Na4 0.974 0.724 0.843
Zn1 0.376 0.624 0.250
Zn2 0.624 0.376 0.750
Ag1 0.243 0.500 0.495
Ag2 0.500 0.243 0.995
Ag3 0.500 0.757 0.005
Ag4 0.757 0.500 0.505

# 8
This record from the Alexandria database describes a relaxed structure of Y2SeBr. The functional is PBE.

Values from the calculation:
- Symmetry: I-42d
- Energy relative to the lowest polymorph listed for this composition: 389 meV/atom
- E_form (uncorrected): -957 meV/atom

Unit cell a=6.470 b=6.470 c=12.925 alpha=90.00 beta=90.00 gamma=90.00
Fractional positions:
Y1 0.232 0.250 0.125
Y2 0.250 0.732 0.375
Y3 0.250 0.768 0.875
Y4 0.268 0.250 0.625
Y5 0.732 0.750 0.625
Y6 0.750 0.232 0.875
Y7 0.750 0.268 0.375
Y8 0.768 0.750 0.125
Se1 0.000 0.000 0.000
Se2 0.000 0.500 0.250
Se3 0.500 0.000 0.750
Se4 0.500 0.500 0.500
Br1 0.000 0.000 0.500
Br2 0.000 0.500 0.750
Br3 0.500 0.000 0.250
Br4 0.500 0.500 0.000

It is found that the final energy values, taken in the order of the records, are -5.85, -6.50, -5.24, -1.74, -3.97, -7.57, -1.96, -5.48 eV/atom.
It is found that the DOS(E_F) values, taken in the order of the records, are 17.055, 4.948, 10.791, 21.765, 3.323, 7.574, 2.633, 11.701 states/eV per cell.